Entry 1:
Entry from Alexandria: a relaxed structure of Al2CrCl (PBE-GGA).

It has space group I-42d (No. 122), with a = 7.666 Å, b = 7.666 Å, c = 5.402 Å, α = 90.00°, β = 90.00° and γ = 90.00°. The inequivalent atoms are Al at (0.238, 0.250, 0.125), Cr at (0.000, 0.000, 0.000) and Cl at (0.000, 0.000, 0.500).

Its spin magnetization is 1.0091 μB/atom. The calculation puts the density of states at the Fermi level at 11.74 states/eV per cell. As for the offset from the most stable computed form: 493.6 meV/atom.

***

Entry 2:
Entry from Alexandria: a relaxed structure of Al2CrCl (PBE-GGA).

It has space group Cm (No. 8), with a = 9.834 Å, b = 2.866 Å, c = 4.801 Å, α = 90.00°, β = 107.46° and γ = 90.00°. The inequivalent atoms are Al at (0.000, 0.000, 0.000), Al at (0.206, 0.000, 0.634), Cr at (0.227, 0.500, 0.096) and Cl at (0.390, 0.000, 0.403).

Its spin magnetization is 0.2247 μB/atom. The calculation puts the density of states at the Fermi level at 2.99 states/eV per cell. As for the offset from the most stable computed form: 119.9 meV/atom.

***

Entry 3:
Entry from Alexandria: a relaxed structure of AlCrCl3 (PBE-GGA).

It has space group Pm-3m (No. 221), with a = 4.924 Å, b = 4.924 Å, c = 4.924 Å, α = 90.00°, β = 90.00° and γ = 90.00°. The inequivalent atoms are Al at (0.000, 0.000, 0.000), Cr at (0.500, 0.500, 0.500) and Cl at (0.000, 0.500, 0.500).

Its spin magnetization is 0.8000 μB/atom. The calculation puts the density of states at the Fermi level at 0.77 states/eV per cell. As for the offset from the most stable computed form: 0.0 meV/atom.

***

Entry 4:
Entry from Alexandria: a relaxed structure of Al3CrCl (PBE-GGA).

It has space group Pm-3m (No. 221), with a = 4.853 Å, b = 4.853 Å, c = 4.853 Å, α = 90.00°, β = 90.00° and γ = 90.00°. The inequivalent atoms are Al at (0.000, 0.000, 0.500), Cr at (0.500, 0.500, 0.500) and Cl at (0.000, 0.000, 0.000).

Its spin magnetization is 0.8027 μB/atom. The calculation puts the density of states at the Fermi level at 2.73 states/eV per cell. As for the offset from the most stable computed form: 435.1 meV/atom.